A relaxed structure of Ti2CdReSb, computed with PBE.

```
5
Lattice="4.959 0.000 0.000 0.000 5.097 0.000 0.000 0.000 4.959" Properties=species:S:1:pos:R:3 pbc="T T T"
Re 2.480 2.549 2.480
Cd 0.000 0.000 0.000
Ti 0.000 0.000 2.480
Ti 2.480 0.000 0.000
Sb 0.000 2.549 0.000
```

ΔE_f (raw), eV per atom: 1.9053